i:
A plane-wave DFT calculation with GGA-PBE was carried out for an optimized crystal structure of Sr2InSn.

Output
mass density: 4.51 g cm⁻³

a = 9.008 Å, b = 9.008 Å, c = 7.426 Å
α = 90.00°, β = 90.00°, γ = 90.00°
Space group I-42d (No. 122)
Asymmetric unit:
Sr 0.244 0.250 0.125 [8 per cell]
In 0.000 0.000 0.500 [4 per cell]
Sn 0.000 0.000 0.000 [4 per cell]

---

ii:
A plane-wave DFT calculation with GGA-PBE was carried out for an optimized crystal structure of Sr2InSn.

Output
mass density: 5.07 g cm⁻³

a = 8.120 Å, b = 8.120 Å, c = 8.120 Å
α = 90.00°, β = 90.00°, γ = 90.00°
Space group Fm-3m (No. 225)
Asymmetric unit:
Sr 0.250 0.250 0.250 [8 per cell]
In 0.000 0.000 0.000 [4 per cell]
Sn 0.000 0.000 0.500 [4 per cell]

---

Stability ranking, top and bottom: ii is the most stable and i is the least stable.